VASP calculation (PBE-GGA) on SrHgSb2I after structural relaxation.

Cell and atoms, written as CIF:
```
data_SrHgSb2I
_space_group_name_H-M_alt 'P 1'
_space_group_IT_number 1
_cell_length_a 6.399
_cell_length_b 6.399
_cell_length_c 6.327
_cell_angle_alpha 90.00
_cell_angle_beta 90.00
_cell_angle_gamma 90.00
loop_
_space_group_symop_operation_xyz
'x,y,z'
loop_
_atom_site_label
_atom_site_fract_x
_atom_site_fract_y
_atom_site_fract_z
I1 0.000 0.000 0.500
Sb1 0.500 0.000 0.000
Hg1 0.500 0.500 0.500
Sr1 0.000 0.000 0.000
Sb2 0.000 0.500 0.000
```

ΔE_f (raw), eV per formula unit: 1.31
Space-group type: P4/mmm (123)
Fermi-level density of states, states/eV/cell: 6.27

=====

VASP calculation (PBE-GGA) on Th7Co2Sb2 after structural relaxation.

Cell and atoms, written as CIF:
```
data_Th7Co2Sb2
_space_group_name_H-M_alt 'P 1'
_space_group_IT_number 1
_cell_length_a 6.937
_cell_length_b 6.859
_cell_length_c 6.937
_cell_angle_alpha 90.00
_cell_angle_beta 104.27
_cell_angle_gamma 90.00
loop_
_space_group_symop_operation_xyz
'x,y,z'
loop_
_atom_site_label
_atom_site_fract_x
_atom_site_fract_y
_atom_site_fract_z
Sb1 0.181 0.500 0.181
Co1 0.257 0.000 0.743
Co2 0.743 0.000 0.257
Th1 0.000 0.000 0.000
Th2 0.500 0.253 0.000
Th3 0.500 0.747 0.000
Th4 0.500 0.236 0.500
Th5 0.000 0.747 0.500
Th6 0.000 0.253 0.500
Sb2 0.819 0.500 0.819
Th7 0.500 0.764 0.500
```

ΔE_f (raw), eV per formula unit: -2.13
Space-group type: Cmmm (65)
Fermi-level density of states, states/eV/cell: 12.87

=====

VASP calculation (PBE-GGA) on TmZrGa4 after structural relaxation.

Cell and atoms, written as CIF:
```
data_TmZrGa4
_space_group_name_H-M_alt 'P 1'
_space_group_IT_number 1
_cell_length_a 5.367
_cell_length_b 5.367
_cell_length_c 5.367
_cell_angle_alpha 60.00
_cell_angle_beta 60.00
_cell_angle_gamma 60.00
loop_
_space_group_symop_operation_xyz
'x,y,z'
loop_
_atom_site_label
_atom_site_fract_x
_atom_site_fract_y
_atom_site_fract_z
Ga1 0.124 0.625 0.625
Ga2 0.625 0.625 0.625
Ga3 0.625 0.625 0.124
Ga4 0.625 0.124 0.625
Zr1 0.000 0.000 0.000
Tm1 0.250 0.250 0.250
```

Energy of formation from the pure elements, meV/atom: -492.7
Space-group type: F-43m (216)
Fermi-level density of states, states/eV/cell: 2.58

=====

VASP calculation (PBE-GGA) on LaSc2BiPt after structural relaxation.

Cell and atoms, written as CIF:
```
data_LaSc2BiPt
_space_group_name_H-M_alt 'P 1'
_space_group_IT_number 1
_cell_length_a 5.010
_cell_length_b 6.013
_cell_length_c 5.010
_cell_angle_alpha 90.00
_cell_angle_beta 90.00
_cell_angle_gamma 90.00
loop_
_space_group_symop_operation_xyz
'x,y,z'
loop_
_atom_site_label
_atom_site_fract_x
_atom_site_fract_y
_atom_site_fract_z
Sc1 0.500 0.000 0.000
Pt1 0.000 0.000 0.000
Bi1 0.000 0.500 0.000
Sc2 0.000 0.000 0.500
La1 0.500 0.500 0.500
```

Energy of formation from the pure elements, meV/atom: -326.5
Space-group type: P4/mmm (123)
Fermi-level density of states, states/eV/cell: 6.73

=====

VASP calculation (PBE-GGA) on YInAs2 after structural relaxation.

Cell and atoms, written as CIF:
```
data_YInAs2
_space_group_name_H-M_alt 'P 1'
_space_group_IT_number 1
_cell_length_a 5.354
_cell_length_b 5.354
_cell_length_c 5.354
_cell_angle_alpha 128.94
_cell_angle_beta 128.93
_cell_angle_gamma 75.11
loop_
_space_group_symop_operation_xyz
'x,y,z'
loop_
_atom_site_label
_atom_site_fract_x
_atom_site_fract_y
_atom_site_fract_z
In1 0.750 0.250 0.500
As1 0.500 0.500 0.000
As2 0.000 0.000 0.000
Y1 0.250 0.750 0.500
```

Energy of formation from the pure elements, meV/atom: -465.3
Space-group type: I4/mmm (139)
Fermi-level density of states, states/eV/cell: 2.21

=====

VASP calculation (PBE-GGA) on TmPuU2P4 after structural relaxation.

Cell and atoms, written as CIF:
```
data_TmPuU2P4
_space_group_name_H-M_alt 'P 1'
_space_group_IT_number 1
_cell_length_a 3.929
_cell_length_b 6.786
_cell_length_c 6.907
_cell_angle_alpha 109.23
_cell_angle_beta 90.00
_cell_angle_gamma 90.00
loop_
_space_group_symop_operation_xyz
'x,y,z'
loop_
_atom_site_label
_atom_site_fract_x
_atom_site_fract_y
_atom_site_fract_z
P1 0.500 0.748 0.747
U1 0.000 0.500 0.500
U2 0.500 0.000 0.500
Tm1 0.500 0.500 0.000
Pu1 0.000 0.000 0.000
P2 0.000 0.251 0.747
P3 0.500 0.252 0.253
P4 0.000 0.749 0.253
```

Energy of formation from the pure elements, meV/atom: -1165.8
Space-group type: P2/m (10)
Fermi-level density of states, states/eV/cell: 20.71

=====

VASP calculation (PBE-GGA) on RbRuF2 after structural relaxation.

Cell and atoms, written as CIF:
```
data_RbRuF2
_space_group_name_H-M_alt 'P 1'
_space_group_IT_number 1
_cell_length_a 7.982
_cell_length_b 7.982
_cell_length_c 7.982
_cell_angle_alpha 23.48
_cell_angle_beta 23.48
_cell_angle_gamma 23.48
loop_
_space_group_symop_operation_xyz
'x,y,z'
loop_
_atom_site_label
_atom_site_fract_x
_atom_site_fract_y
_atom_site_fract_z
Ru1 0.000 0.000 0.000
Rb1 0.500 0.500 0.500
F1 0.086 0.086 0.086
F2 0.914 0.914 0.914
```

ΔE_f (raw), eV per formula unit: -4.83
Space-group type: R-3m (166)
Fermi-level density of states, states/eV/cell: 2.88

=====

VASP calculation (PBE-GGA) on VIr3W after structural relaxation.

Cell and atoms, written as CIF:
```
data_VIr3W
_space_group_name_H-M_alt 'P 1'
_space_group_IT_number 1
_cell_length_a 4.734
_cell_length_b 5.463
_cell_length_c 7.260
_cell_angle_alpha 111.56
_cell_angle_beta 122.48
_cell_angle_gamma 73.49
loop_
_space_group_symop_operation_xyz
'x,y,z'
loop_
_atom_site_label
_atom_site_fract_x
_atom_site_fract_y
_atom_site_fract_z
Ir1 0.418 0.349 0.875
W1 0.823 0.151 0.689
Ir2 0.216 0.935 0.485
Ir3 0.828 0.643 0.669
V1 0.601 0.733 0.272
V2 0.443 0.845 0.882
Ir4 0.013 0.546 0.080
W2 0.221 0.428 0.465
Ir5 0.031 0.033 0.074
Ir6 0.626 0.230 0.279
```

Energy of formation from the pure elements, meV/atom: -345.6
Space-group type: P-1 (2)
Fermi-level density of states, states/eV/cell: 8.34

=====

VASP calculation (PBE-GGA) on LaGa2Hg after structural relaxation.

Cell and atoms, written as CIF:
```
data_LaGa2Hg
_space_group_name_H-M_alt 'P 1'
_space_group_IT_number 1
_cell_length_a 4.491
_cell_length_b 6.039
_cell_length_c 4.817
_cell_angle_alpha 128.82
_cell_angle_beta 90.00
_cell_angle_gamma 90.00
loop_
_space_group_symop_operation_xyz
'x,y,z'
loop_
_atom_site_label
_atom_site_fract_x
_atom_site_fract_y
_atom_site_fract_z
La1 0.500 0.791 0.582
Ga1 0.000 0.081 0.163
Hg1 0.000 0.479 0.959
Ga2 0.500 0.251 0.502
```

Energy of formation from the pure elements, meV/atom: -301.7
Space-group type: Amm2 (38)
Fermi-level density of states, states/eV/cell: 3.07

=====

VASP calculation (PBE-GGA) on Mg2Al5Cu3 after structural relaxation.

Cell and atoms, written as CIF:
```
data_Mg2Al5Cu3
_space_group_name_H-M_alt 'P 1'
_space_group_IT_number 1
_cell_length_a 3.966
_cell_length_b 6.881
_cell_length_c 12.094
_cell_angle_alpha 90.00
_cell_angle_beta 99.44
_cell_angle_gamma 90.00
loop_
_space_group_symop_operation_xyz
'x,y,z'
loop_
_atom_site_label
_atom_site_fract_x
_atom_site_fract_y
_atom_site_fract_z
Cu1 0.041 0.015 0.082
Cu2 0.616 0.522 0.231
Al1 0.874 0.754 0.748
Mg1 0.524 0.299 0.048
Al2 0.597 0.906 0.195
Cu3 0.384 0.022 0.769
Mg2 0.821 0.185 0.642
Al3 0.294 0.487 0.588
Mg3 0.476 0.799 0.952
Al4 0.291 0.876 0.582
Al5 0.709 0.376 0.418
Mg4 0.179 0.685 0.358
Al6 0.126 0.254 0.252
Al7 0.942 0.140 0.884
Al8 0.403 0.406 0.805
Cu4 0.959 0.515 0.918
Al9 0.058 0.640 0.116
Cu5 0.765 0.680 0.531
Cu6 0.235 0.180 0.469
Al10 0.706 0.987 0.412
```

Energy of formation from the pure elements, meV/atom: -133.3
Space-group type: Cmc2_1 (36)
Fermi-level density of states, states/eV/cell: 6.49

=====

VASP calculation (PBE-GGA) on PuHgPdAu after structural relaxation.

Cell and atoms, written as CIF:
```
data_PuHgPdAu
_space_group_name_H-M_alt 'P 1'
_space_group_IT_number 1
_cell_length_a 4.958
_cell_length_b 4.958
_cell_length_c 4.958
_cell_angle_alpha 60.00
_cell_angle_beta 60.00
_cell_angle_gamma 60.00
loop_
_space_group_symop_operation_xyz
'x,y,z'
loop_
_atom_site_label
_atom_site_fract_x
_atom_site_fract_y
_atom_site_fract_z
Pd1 0.000 0.000 0.000
Hg1 0.750 0.750 0.750
Au1 0.250 0.250 0.250
Pu1 0.500 0.500 0.500
```

Energy of formation from the pure elements, meV/atom: -238.3
Space-group type: F-43m (216)
Fermi-level density of states, states/eV/cell: 15.65

=====

VASP calculation (PBE-GGA) on Ho3Er3Si4 after structural relaxation.

Cell and atoms, written as CIF:
```
data_Ho3Er3Si4
_space_group_name_H-M_alt 'P 1'
_space_group_IT_number 1
_cell_length_a 4.193
_cell_length_b 7.422
_cell_length_c 7.422
_cell_angle_alpha 89.96
_cell_angle_beta 90.00
_cell_angle_gamma 90.00
loop_
_space_group_symop_operation_xyz
'x,y,z'
loop_
_atom_site_label
_atom_site_fract_x
_atom_site_fract_y
_atom_site_fract_z
Ho1 0.500 0.824 0.176
Er1 0.000 0.500 0.000
Ho2 0.500 0.676 0.676
Si1 0.000 0.118 0.117
Si2 0.000 0.883 0.882
Si3 0.000 0.382 0.618
Ho3 0.500 0.324 0.324
Er2 0.000 0.000 0.500
Si4 0.000 0.617 0.383
Er3 0.500 0.176 0.824
```

ΔE_f (raw), eV per formula unit: -7.11
Space-group type: Amm2 (38)
Fermi-level density of states, states/eV/cell: 8.21

=====

VASP calculation (PBE-GGA) on HfAlOs2 after structural relaxation.

Cell and atoms, written as CIF:
```
data_HfAlOs2
_space_group_name_H-M_alt 'P 1'
_space_group_IT_number 1
_cell_length_a 3.203
_cell_length_b 4.407
_cell_length_c 4.407
_cell_angle_alpha 90.00
_cell_angle_beta 90.00
_cell_angle_gamma 90.00
loop_
_space_group_symop_operation_xyz
'x,y,z'
loop_
_atom_site_label
_atom_site_fract_x
_atom_site_fract_y
_atom_site_fract_z
Al1 0.500 0.500 0.500
Hf1 0.500 0.000 0.000
Os1 0.000 0.500 0.000
Os2 0.000 0.000 0.500
```

Energy of formation from the pure elements, meV/atom: -520.2
Space-group type: P4/mmm (123)
Fermi-level density of states, states/eV/cell: 2.71

=====

For reference, energy by record: -10.46 -76.53 -28.08 -29.14 -20.36 -72.35 -18.81 -100.77 -12.49 -71.05 -24.06 -56.22 -38.24 eV/cell.